Material: KSmMg2
Method: DFT, GGA-PBE
State: optimized geometry

Output
- theoretical density (g/cm3) = 2.85
- SG = P4/mmm
- electronic total energy (eV per cell) = -8.546
- energy of formation from the pure elements (eV/atom) = 0.11

Lattice parameters (Å, degrees): 3.964 3.964 8.825 90.00 90.00 90.00
Fractional positions:
K 0.000 0.000 0.000
Sm 0.000 0.000 0.500
Mg 0.500 0.500 0.300
Mg 0.500 0.500 0.700


Material: UCr4
Method: DFT, GGA-PBE
State: optimized geometry

Output
- theoretical density (g/cm3) = 8.32
- SG = Pm-3m
- electronic total energy (eV per cell) = -42.942
- energy of formation from the pure elements (eV/atom) = 1.37

Lattice parameters (Å, degrees): 4.465 4.465 4.465 90.00 90.00 90.00
Fractional positions:
U 0.000 0.000 0.000
Cr 0.000 0.000 0.500
Cr 0.000 0.500 0.000
Cr 0.500 0.000 0.000
Cr 0.500 0.500 0.500


Material: MgMoCl4
Method: DFT, GGA-PBE
State: optimized geometry

Output
- theoretical density (g/cm3) = 3.00
- SG = F-43m
- electronic total energy (eV per cell) = -15.464
- uncorrected formation energy (eV per atom) = 0.7247

Lattice parameters (Å, degrees): 5.900 5.900 5.900 60.00 60.00 60.00
Fractional positions:
Mg 0.000 0.000 0.000
Mo 0.750 0.750 0.750
Cl 0.375 0.375 0.375
Cl 0.375 0.375 0.876
Cl 0.375 0.876 0.375
Cl 0.876 0.375 0.375


Material: Na2ErSi2O6
Method: DFT, GGA-PBE
State: optimized geometry

Output
- theoretical density (g/cm3) = 3.12
- SG = P-3
- electronic total energy (eV per cell) = -73.968
- uncorrected formation energy (eV per atom) = -2.3793

Lattice parameters (Å, degrees): 5.561 5.561 7.250 90.00 90.00 120.00
Fractional positions:
Na 0.333 0.667 0.297
Na 0.667 0.333 0.703
Er 0.000 0.000 0.000
Si 0.333 0.667 0.796
Si 0.667 0.333 0.204
O 0.071 0.710 0.820
O 0.290 0.361 0.820
O 0.361 0.071 0.180
O 0.639 0.929 0.820
O 0.710 0.639 0.180
O 0.929 0.290 0.180


Material: SiPb4Cl4O4
Method: DFT, GGA-PBE
State: optimized geometry

Output
- theoretical density (g/cm3) = 5.87
- SG = P2_1/c
- electronic total energy (eV per cell) = -272.081
- uncorrected formation energy (eV per atom) = -1.5803

Lattice parameters (Å, degrees): 8.914 15.864 8.506 90.00 92.20 90.00
Fractional positions:
Si 0.133 0.148 0.151
Si 0.133 0.352 0.651
Si 0.867 0.648 0.349
Si 0.867 0.852 0.849
Pb 0.067 0.701 0.004
Pb 0.067 0.799 0.504
Pb 0.153 0.530 0.346
Pb 0.153 0.970 0.846
Pb 0.347 0.005 0.291
Pb 0.347 0.495 0.791
Pb 0.392 0.247 0.934
Pb 0.392 0.253 0.434
Pb 0.608 0.747 0.566
Pb 0.608 0.753 0.066
Pb 0.653 0.505 0.209
Pb 0.653 0.995 0.709
Pb 0.847 0.030 0.154
Pb 0.847 0.470 0.654
Pb 0.933 0.201 0.496
Pb 0.933 0.299 0.996
Cl 0.000 0.000 0.500
Cl 0.000 0.500 0.000
Cl 0.228 0.655 0.612
Cl 0.228 0.845 0.112
Cl 0.339 0.126 0.679
Cl 0.339 0.374 0.179
Cl 0.373 0.604 0.109
Cl 0.373 0.896 0.609
Cl 0.500 0.000 0.000
Cl 0.500 0.500 0.500
Cl 0.627 0.104 0.391
Cl 0.627 0.396 0.891
Cl 0.661 0.626 0.821
Cl 0.661 0.874 0.321
Cl 0.772 0.155 0.888
Cl 0.772 0.345 0.388
O 0.026 0.672 0.266
O 0.026 0.828 0.766
O 0.122 0.047 0.103
O 0.122 0.453 0.603
O 0.148 0.212 0.999
O 0.148 0.288 0.499
O 0.286 0.154 0.266
O 0.286 0.346 0.766
O 0.714 0.654 0.234
O 0.714 0.846 0.734
O 0.852 0.712 0.501
O 0.852 0.788 0.001
O 0.878 0.547 0.397
O 0.878 0.953 0.897
O 0.974 0.172 0.234
O 0.974 0.328 0.734


Material: Li3NbF6
Method: DFT, GGA-PBE
State: optimized geometry

Output
- theoretical density (g/cm3) = 2.86
- SG = Fm-3m
- electronic total energy (eV per cell) = -52.429
- uncorrected formation energy (eV per atom) = -2.5390
- relative energy among the computed polymorphs (eV/atom) = 0.1997

Lattice parameters (Å, degrees): 5.720 5.720 5.720 60.00 60.00 60.00
Fractional positions:
Li 0.000 0.000 0.000
Li 0.250 0.250 0.250
Li 0.750 0.750 0.750
Nb 0.500 0.500 0.500
F 0.243 0.243 0.757
F 0.243 0.757 0.243
F 0.243 0.757 0.757
F 0.757 0.243 0.243
F 0.757 0.243 0.757
F 0.757 0.757 0.243


Material: Zr3Mn
Method: DFT, GGA-PBE
State: optimized geometry

Output
- theoretical density (g/cm3) = 6.72
- SG = Pnma
- electronic total energy (eV per cell) = -139.397
- energy of formation from the pure elements (eV/atom) = -0.01

Lattice parameters (Å, degrees): 6.344 8.856 5.785 90.00 90.00 90.00
Fractional positions:
Zr 0.038 0.250 0.134
Zr 0.179 0.060 0.665
Zr 0.179 0.440 0.665
Zr 0.321 0.560 0.165
Zr 0.321 0.940 0.165
Zr 0.462 0.750 0.634
Zr 0.538 0.250 0.366
Zr 0.679 0.060 0.835
Zr 0.679 0.440 0.835
Zr 0.821 0.560 0.335
Zr 0.821 0.940 0.335
Zr 0.962 0.750 0.866
Mn 0.112 0.750 0.431
Mn 0.388 0.250 0.931
Mn 0.612 0.750 0.069
Mn 0.888 0.250 0.569


Material: CaY3
Method: DFT, GGA-PBE
State: optimized geometry

Output
- theoretical density (g/cm3) = 3.76
- SG = Cmmm
- electronic total energy (eV per cell) = -20.963
- energy of formation from the pure elements (eV/atom) = 0.11

Lattice parameters (Å, degrees): 6.315 6.315 3.610 90.00 90.00 109.79
Fractional positions:
Ca 0.000 0.000 0.000
Y 0.000 0.500 0.500
Y 0.500 0.000 0.500
Y 0.500 0.500 0.000


Material: SrSbSF2
Method: DFT, GGA-PBE
State: optimized geometry

Output
- theoretical density (g/cm3) = 3.95
- SG = P4/mmm
- electronic total energy (eV per cell) = -22.382
- uncorrected formation energy (eV per atom) = -1.7415

Lattice parameters (Å, degrees): 4.505 4.505 5.780 90.00 90.00 90.00
Fractional positions:
Sr 0.000 0.000 0.000
Sb 0.500 0.500 0.500
S 0.500 0.500 0.000
F 0.000 0.500 0.500
F 0.500 0.000 0.500


Material: Mn4As2Au
Method: DFT, GGA-PBE
State: optimized geometry

Output
- theoretical density (g/cm3) = 6.16
- SG = I4/mmm
- electronic total energy (eV per cell) = -45.075
- energy of formation from the pure elements (eV/atom) = 0.60

Lattice parameters (Å, degrees): 7.449 7.449 7.449 142.41 142.41 54.22
Fractional positions:
Mn 0.000 0.500 0.500
Mn 0.193 0.193 0.000
Mn 0.500 0.000 0.500
Mn 0.807 0.807 0.000
As 0.379 0.379 0.000
As 0.621 0.621 0.000
Au 0.000 0.000 0.000


Material: Dy5Er2Tl
Method: DFT, GGA-PBE
State: optimized geometry

Output
- theoretical density (g/cm3) = 9.35
- SG = I4/mcm
- electronic total energy (eV per cell) = -68.395
- energy of formation from the pure elements (eV/atom) = 0.04
- relative energy among the computed polymorphs (eV/atom) = 0.0424

Lattice parameters (Å, degrees): 8.880 8.880 8.880 121.92 121.92 86.70
Fractional positions:
Dy 0.000 0.000 0.000
Dy 0.011 0.511 0.195
Dy 0.184 0.989 0.500
Dy 0.316 0.816 0.805
Dy 0.489 0.684 0.500
Dy 0.500 0.500 0.000
Dy 0.511 0.316 0.500
Dy 0.684 0.184 0.195
Dy 0.816 0.011 0.500
Dy 0.989 0.489 0.805
Er 0.141 0.359 0.500
Er 0.359 0.859 0.217
Er 0.641 0.141 0.783
Er 0.859 0.641 0.500
Tl 0.250 0.250 0.000
Tl 0.750 0.750 0.000


Material: DyTi2Al9
Method: DFT, GGA-PBE
State: optimized geometry

Output
- theoretical density (g/cm3) = 3.97
- SG = R-3m
- electronic total energy (eV per cell) = -56.523
- energy of formation from the pure elements (eV/atom) = -0.20

Lattice parameters (Å, degrees): 9.192 9.192 9.192 33.42 33.42 33.42
Fractional positions:
Dy 0.000 0.000 0.000
Ti 0.146 0.146 0.146
Ti 0.854 0.854 0.854
Al 0.081 0.592 0.592
Al 0.334 0.334 0.334
Al 0.408 0.408 0.919
Al 0.408 0.919 0.408
Al 0.500 0.500 0.500
Al 0.592 0.081 0.592
Al 0.592 0.592 0.081
Al 0.666 0.666 0.666
Al 0.919 0.408 0.408